Zr4CN, optimized geometry, DFT PBE; E_form (uncorrected) = -0.900 eV/atom
1.0
-1.751 -6.187 -0.078
6.144 1.268 1.413
-3.481 2.756 4.652
N Zr C
2 8 2
direct
0.254 0.254 0.000
0.004 0.504 0.500
0.753 0.455 0.702
0.753 0.051 0.298
0.247 0.544 0.297
0.801 0.003 0.798
0.700 0.497 0.203
0.294 0.497 0.797
0.205 0.003 0.202
0.247 0.950 0.703
0.497 0.997 0.500
0.747 0.747 0.000

=====

BeC2, optimized geometry, DFT PBE; energy of formation = 1.3139 eV per atom
1.0
3.072 -0.121 3.325
-0.679 -2.625 3.627
-0.141 -0.334 -4.514
C Be
4 2
direct
0.596 0.596 0.000
0.404 0.404 0.000
0.346 0.846 0.500
0.154 0.654 0.500
0.750 0.250 0.500
0.000 0.000 0.000

=====

For each record above, in turn, the calculated energy above the lowest structure with this stoichiometry values are 0.0 927.4 meV per atom.
For each record above, in turn, the calculated DOS(E_F) values are 4.1 0.5 states/eV/f.u..